! VFe6O8 PBE+U optimized geometry; values from VASP
! * E_tot: -6.789 eV per atom
&SYSTEM
  ibrav = 0, nat = 15, ntyp = 3
/
ATOMIC_SPECIES
V 50.94 V.upf
Fe 55.84 Fe.upf
O 16.00 O.upf
ATOMIC_POSITIONS crystal
V 0.0000 0.0000 0.0000
Fe 0.0000 0.3872 0.7041
Fe 0.0000 0.6128 0.2959
Fe 0.3872 0.0000 0.7041
Fe 0.3872 0.3872 0.2959
Fe 0.6128 0.0000 0.2959
Fe 0.6128 0.6128 0.7041
O 0.0000 0.2766 0.1845
O 0.0000 0.7234 0.8155
O 0.2766 0.0000 0.1845
O 0.2766 0.2766 0.8155
O 0.3333 0.6667 0.5000
O 0.6667 0.3333 0.5000
O 0.7234 0.0000 0.8155
O 0.7234 0.7234 0.1845
CELL_PARAMETERS angstrom
5.6785 0.0000 0.0000
-2.8393 4.9177 0.0000
0.0000 0.0000 6.5578